RbHoCoO3 GGA+U relaxed; energy = -6.36 eV/atom; SG = No. 63; volume = 16.40 Å³/atom; magnetic moment = 0.50 μB per atom
1.0
-0.2092 -3.4158 0.7018
2.4116 -0.7100 5.9580
-8.2579 1.2223 3.4882
Rb O Ho Co
2 6 2 2
Direct
0.7256 0.5488 0.7500 Rb
0.2744 0.4512 0.2500 Rb
0.3900 0.2200 0.5554 O
0.0367 0.9267 0.7500 O
0.3900 0.2200 0.9446 O
0.6100 0.7800 0.0554 O
0.6100 0.7800 0.4446 O
0.9633 0.0733 0.2500 O
0.0000 0.0000 0.5000 Ho
0.0000 0.0000 0.0000 Ho
0.5498 0.9004 0.2500 Co
0.4502 0.0996 0.7500 Co